(1)
Compound: Ac8CoIr3Br3
Source: Alexandria
Functional: PBE
Structure: relaxed

POSCAR file:
```
Ac8CoIr3Br3
1.0
7.526 -4.345 0.000
7.526 4.345 0.000
-5.015 0.000 8.198
Ac Co Ir Br
8 1 3 3
direct
0.228 0.228 0.691
0.228 0.737 0.691
0.263 0.772 0.309
0.268 0.268 0.304
0.732 0.732 0.696
0.737 0.228 0.691
0.772 0.263 0.309
0.772 0.772 0.309
0.000 0.000 0.500
0.000 0.500 0.500
0.500 0.000 0.500
0.500 0.500 0.500
0.000 0.000 0.000
0.000 0.500 0.000
0.500 0.000 0.000
```

Properties
E_tot = -5.71 eV/atom
N(E_F) = 0.45 states/eV per atom
space group = No. 12


(2)
Compound: Ac6CoIr2Br3
Source: Alexandria
Functional: PBE
Structure: relaxed

POSCAR file:
```
Ac6CoIr2Br3
1.0
3.743 -6.484 0.000
3.743 6.484 0.000
-2.495 0.000 8.249
Ac Co Ir Br
6 1 2 3
direct
0.064 0.391 0.193
0.263 0.263 0.808
0.391 0.064 0.193
0.609 0.936 0.807
0.737 0.737 0.192
0.936 0.609 0.807
0.000 0.000 0.000
0.333 0.667 0.000
0.667 0.333 0.000
0.165 0.835 0.500
0.500 0.500 0.500
0.835 0.165 0.500
```

Properties
E_tot = -5.59 eV/atom
N(E_F) = 0.31 states/eV per atom
space group = No. 12


(3)
Compound: Ac6CoIr2Br2
Source: Alexandria
Functional: PBE
Structure: relaxed

POSCAR file:
```
Ac6CoIr2Br2
1.0
3.760 -6.526 0.000
3.760 6.526 0.000
-2.497 0.000 8.084
Ac Co Ir Br
6 1 2 2
direct
0.066 0.392 0.194
0.264 0.264 0.807
0.392 0.066 0.194
0.608 0.934 0.806
0.736 0.736 0.193
0.934 0.608 0.806
0.000 0.000 0.000
0.331 0.669 0.000
0.669 0.331 0.000
0.166 0.834 0.500
0.834 0.166 0.500
```

Properties
E_tot = -5.64 eV/atom
N(E_F) = 0.56 states/eV per atom
space group = No. 12


(4)
Compound: Ac4CoIrBr2
Source: Alexandria
Functional: PBE
Structure: relaxed

POSCAR file:
```
Ac4CoIrBr2
1.0
7.446 0.000 0.000
0.000 4.296 0.000
-2.450 0.000 8.257
Ac Co Ir Br
4 1 1 2
direct
0.225 0.000 0.191
0.265 0.500 0.806
0.735 0.500 0.194
0.775 0.000 0.809
0.000 0.500 0.000
0.500 0.000 0.000
0.000 0.000 0.500
0.500 0.500 0.500
```

Properties
E_tot = -5.44 eV/atom
N(E_F) = 0.28 states/eV per atom
space group = No. 10


(5)
Compound: Ac8CoIr3Br4
Source: Alexandria
Functional: PBE
Structure: relaxed

POSCAR file:
```
Ac8CoIr3Br4
1.0
4.334 2.503 8.250
-4.334 2.503 8.250
0.000 -5.005 8.250
Ac Co Ir Br
8 1 3 4
direct
0.231 0.231 0.231
0.236 0.728 0.728
0.272 0.272 0.764
0.272 0.764 0.272
0.728 0.236 0.728
0.728 0.728 0.236
0.764 0.272 0.272
0.769 0.769 0.769
0.500 0.500 0.500
0.000 0.000 0.500
0.000 0.500 0.000
0.500 0.000 0.000
0.000 0.000 0.000
0.000 0.500 0.500
0.500 0.000 0.500
0.500 0.500 0.000
```

Properties
E_tot = -5.66 eV/atom
N(E_F) = 0.29 states/eV per atom
space group = No. 166


(6)
Compound: Ac8Co3IrBr4
Source: Alexandria
Functional: PBE
Structure: relaxed

POSCAR file:
```
Ac8Co3IrBr4
1.0
4.262 2.461 8.264
-4.262 2.461 8.264
0.000 -4.921 8.264
Ac Co Ir Br
8 3 1 4
direct
0.226 0.733 0.733
0.230 0.230 0.230
0.267 0.267 0.774
0.267 0.774 0.267
0.733 0.226 0.733
0.733 0.733 0.226
0.770 0.770 0.770
0.774 0.267 0.267
0.000 0.000 0.500
0.000 0.500 0.000
0.500 0.000 0.000
0.500 0.500 0.500
0.000 0.000 0.000
0.000 0.500 0.500
0.500 0.000 0.500
0.500 0.500 0.000
```

Properties
E_tot = -5.22 eV/atom
N(E_F) = 0.29 states/eV per atom
space group = No. 166